Entry 1:
! Nd8Pd2Pt | Alexandria via LeMat-Bulk | PBE-GGA | optimized geometry; values from VASP
! Crystal system: monoclinic
! Relative energy among the computed polymorphs in meV per atom: 0.0
! Space-group type: C2/m (12)
&SYSTEM
  ibrav = 0, nat = 11, ntyp = 3
/
ATOMIC_SPECIES
Nd 144.24 Nd.upf
Pd 106.42 Pd.upf
Pt 195.08 Pt.upf
ATOMIC_POSITIONS angstrom
Nd 0.0000 4.9170 5.8469
Nd 2.6258 2.7582 5.2893
Nd 0.0000 1.3241 7.2396
Nd 2.6258 -1.3195 8.3381
Nd 0.0000 5.2657 0.5406
Nd 2.6258 -0.9708 3.0319
Nd 0.0000 1.1881 3.5895
Nd 2.6258 2.6222 1.6392
Pd 0.0000 4.0779 3.0883
Pd 2.6258 -0.1317 5.7904
Pt 2.6258 0.0000 0.0000
CELL_PARAMETERS angstrom
5.2516 0.0000 0.0000
0.0000 6.8516 0.0550
-2.6258 -2.9054 8.8238

---

Entry 2:
! NdPdPt | Alexandria via LeMat-Bulk | PBE-GGA | optimized geometry; values from VASP
! Crystal system: tetragonal
! Relative energy among the computed polymorphs in meV per atom: 194.4
! Space-group type: I4mm (107)
&SYSTEM
  ibrav = 0, nat = 3, ntyp = 3
/
ATOMIC_SPECIES
Pd 106.42 Pd.upf
Pt 195.08 Pt.upf
Nd 144.24 Nd.upf
ATOMIC_POSITIONS angstrom
Pd 1.8428 1.8428 1.1204
Pt 0.0000 0.0000 2.5809
Nd 1.8428 1.8428 4.0989
CELL_PARAMETERS angstrom
3.6855 0.0000 0.0000
0.0000 3.6855 0.0000
-1.8428 -1.8428 4.5883

---

Entry 3:
! Nd3Pd2Pt7 | Alexandria via LeMat-Bulk | PBE-GGA | optimized geometry; values from VASP
! Crystal system: trigonal
! Space-group type: R-3m (166)
&SYSTEM
  ibrav = 0, nat = 12, ntyp = 3
/
ATOMIC_SPECIES
Pt 195.08 Pt.upf
Pd 106.42 Pd.upf
Nd 144.24 Nd.upf
ATOMIC_POSITIONS angstrom
Pt 3.7279 2.2930 6.3775
Pt 3.1001 1.9068 3.7634
Pt 5.7342 1.9068 4.5878
Pt 4.2881 4.2578 4.5878
Pt 3.1678 0.3282 8.1672
Pt 4.3558 2.6792 8.9917
Pt 1.7217 2.6792 8.1672
Pd 2.5181 1.5489 1.0989
Pd 4.9378 3.0372 11.6561
Nd 0.9888 0.6082 5.9848
Nd 0.0000 0.0000 0.0000
Nd 6.4670 3.9779 6.7702
CELL_PARAMETERS angstrom
5.2133 0.0000 1.6317
2.3513 4.6530 1.6317
-0.1088 -0.0669 9.4915

---

Entry 4:
! NdPdPt | Alexandria via LeMat-Bulk | PBE-GGA | optimized geometry; values from VASP
! Crystal system: monoclinic
! Relative energy among the computed polymorphs in meV per atom: 85.3
! Space-group type: C2/m (12)
&SYSTEM
  ibrav = 0, nat = 12, ntyp = 3
/
ATOMIC_SPECIES
Pt 195.08 Pt.upf
Nd 144.24 Nd.upf
Pd 106.42 Pd.upf
ATOMIC_POSITIONS angstrom
Pt 1.9100 4.2396 4.5152
Pt 3.1610 1.5015 1.5051
Pt 1.9101 4.2397 1.5051
Pt 3.1609 1.5014 4.5152
Nd 4.5161 3.7846 3.0103
Nd 5.7671 1.0463 6.0202
Nd 0.5549 1.9565 3.0100
Nd -0.6961 4.6947 0.0001
Pd 5.4473 0.8975 3.0101
Pd 4.1963 3.6358 0.0001
Pd -0.3763 4.8435 3.0102
Pd 0.8747 2.1053 6.0202
CELL_PARAMETERS angstrom
7.5729 0.2646 0.0000
-2.5019 5.4764 0.0000
0.0000 0.0000 6.0203

---

Entry 5:
! Nd2Pd3Pt | Alexandria via LeMat-Bulk | PBE-GGA | optimized geometry; values from VASP
! Crystal system: orthorhombic
! Relative energy among the computed polymorphs in meV per atom: 192.8
! Space-group type: Immm (71)
&SYSTEM
  ibrav = 0, nat = 6, ntyp = 3
/
ATOMIC_SPECIES
Pd 106.42 Pd.upf
Nd 144.24 Nd.upf
Pt 195.08 Pt.upf
ATOMIC_POSITIONS angstrom
Pd -0.1670 -3.9763 -0.0076
Pd 2.8773 -1.2265 1.1382
Pd 0.0000 0.0000 0.0000
Nd 0.2893 -2.1894 2.1473
Nd 2.4211 -3.0134 -1.0167
Pt -0.0475 -1.9611 -1.9932
CELL_PARAMETERS angstrom
-2.5181 -3.0588 3.0696
-0.0951 -3.9222 -3.9863
5.3236 1.7781 2.0473

---

Entry 6:
! NdPd12Pt7 | Alexandria via LeMat-Bulk | PBE-GGA | optimized geometry; values from VASP
! Crystal system: cubic
! Space-group type: Im-3 (204)
&SYSTEM
  ibrav = 0, nat = 20, ntyp = 3
/
ATOMIC_SPECIES
Pd 106.42 Pd.upf
Nd 144.24 Nd.upf
Pt 195.08 Pt.upf
ATOMIC_POSITIONS angstrom
Pd -4.9130 -3.3484 1.6351
Pd -2.9392 -0.2373 0.0176
Pd -1.3339 1.0407 -2.4152
Pd -1.0790 -2.0715 -1.8001
Pd -1.4241 1.8469 -6.6054
Pd -2.8043 -5.9116 -2.5019
Pd -3.5329 4.4101 -2.4685
Pd -5.2582 0.5700 -3.1702
Pd -5.0032 -2.5422 -2.5551
Pd -6.8419 1.4417 0.4247
Pd 0.5048 -2.9433 -5.3950
Pd -3.3979 -1.2642 -4.9879
Nd 0.0000 0.0000 0.0000
Pt 1.1566 -2.6115 -2.9363
Pt -0.0999 0.8935 -4.6437
Pt -1.9121 -4.2558 -0.7777
Pt -1.2565 3.5050 -1.7074
Pt -3.0686 -1.6443 2.1586
Pt -3.1686 -0.7508 -2.4852
Pt -4.3251 1.8608 0.4511
CELL_PARAMETERS angstrom
-2.5130 7.0101 -3.4149
2.3131 -5.2230 -5.8726
-6.1372 -3.2886 4.3171

---

Entry 7:
! Nd8PdPt2 | Alexandria via LeMat-Bulk | PBE-GGA | optimized geometry; values from VASP
! Crystal system: monoclinic
! Relative energy among the computed polymorphs in meV per atom: 0.0
! Space-group type: C2/m (12)
&SYSTEM
  ibrav = 0, nat = 11, ntyp = 3
/
ATOMIC_SPECIES
Nd 144.24 Nd.upf
Pd 106.42 Pd.upf
Pt 195.08 Pt.upf
ATOMIC_POSITIONS angstrom
Nd 3.4181 5.7524 3.9327
Nd -2.8001 5.4419 4.1705
Nd 4.4412 3.8778 0.9193
Nd 0.2115 6.3760 2.8184
Nd 1.4296 2.9436 2.2714
Nd -2.6426 1.8598 4.3086
Nd -1.7770 3.5673 1.1571
Nd 4.2838 7.4598 0.7812
Pd -1.1935 1.7161 -1.4728
Pt -0.2534 3.6789 4.4921
Pt 1.8946 5.6407 0.5977
CELL_PARAMETERS angstrom
-2.3870 3.4322 -2.9455
-4.0256 1.8908 5.4655
8.0538 3.9966 2.5698

---

Entry 8:
! Nd2Pd2Pt15 | Alexandria via LeMat-Bulk | PBE-GGA | optimized geometry; values from VASP
! Crystal system: trigonal
! Space-group type: R-3m (166)
&SYSTEM
  ibrav = 0, nat = 19, ntyp = 3
/
ATOMIC_SPECIES
Pt 195.08 Pt.upf
Pd 106.42 Pd.upf
Nd 144.24 Nd.upf
ATOMIC_POSITIONS angstrom
Pt -5.8515 -3.3268 2.8735
Pt -2.7390 -4.7290 -0.6378
Pt -4.2486 -2.7764 4.9277
Pt -3.4260 -0.1030 0.6798
Pt -2.9161 -6.5547 1.4480
Pt -2.1910 -4.3905 5.4302
Pt 0.1236 -3.7270 4.0455
Pt -4.9737 -4.9406 0.9455
Pt 0.2899 -1.1828 3.2753
Pt -0.4462 -3.3798 -0.7673
Pt -1.3133 -6.0043 3.5022
Pt -1.7229 -1.6965 4.9422
Pt -5.0055 -2.2365 0.4629
Pt -0.4363 -5.3981 0.9706
Pt -4.5494 -0.8751 2.9680
Pd -6.4194 -8.3605 5.7125
Pd -0.7453 -0.9707 0.6632
Nd -2.4147 -3.1449 2.1488
Nd -4.7500 -6.1863 4.2269
CELL_PARAMETERS angstrom
-6.8521 -0.2060 1.3597
-0.8924 -6.7595 -1.5345
0.5798 -2.3656 6.5506

---

Number 1: E_form -0.469 eV per atom. Number 2: E_form -0.721 eV per atom. Number 3: E_form -0.900 eV per atom. Number 4: E_form -0.830 eV per atom. Number 5: E_form -0.572 eV per atom. Number 6: E_form 0.515 eV per atom. Number 7: E_form -0.545 eV per atom. Number 8: E_form -0.445 eV per atom.